DFT (PBE-GGA) results for Sc6In2CoH after structural relaxation.

Cell: 6.6030 6.6030 9.3303 Å, 90.00 90.00 90.00°
With the nearest neighbours (Å) after each atom.
Space group I4/mmm (No. 139)
Unique sites:
Sc 0.0000 0.0000 0.2454 [4 per cell]  1 H 2.29, 1 Co 2.38
Sc 0.2453 0.2453 0.0000 [8 per cell]  1 H 2.29, 1 Co 2.38
In 0.0000 0.5000 0.2500 [4 per cell]  12 Sc 3.30
Co 0.0000 0.0000 0.5000 [2 per cell]  6 Sc 2.38
H 0.0000 0.0000 0.0000 [2 per cell]  6 Sc 2.29

Calculated values
**Calculated total energy**: -5.71 eV/atom